# 1
## SmScCoIr (PBE-GGA)

Data for crystalline SmScCoIr at its relaxed geometry.

```
4
Lattice="4.7195 0.0000 0.0000 2.3598 4.0872 0.0000 2.3598 1.3624 3.8535" Properties=species:S:1:pos:R:3 pbc="T T T"
Sm 4.7195 2.7248 1.9267
Sc 0.0000 0.0000 0.0000
Co 2.3598 1.3624 0.9634
Ir 7.0793 4.0872 2.8901
```

Calculated values
Magnetic moment: 0.5 Bohr magnetons per cell
Formation enthalpy at 0 K: -466 meV per atom
Space-group type: F-43m, No. 216

---

# 2
## TmVGa3 (PBE-GGA)

Data for crystalline TmVGa3 at its relaxed geometry.

```
10
Lattice="-4.8760 2.1762 -1.2694 -2.6637 -5.5890 0.6502 0.4352 3.8276 4.8903" Properties=species:S:1:pos:R:3 pbc="T T T"
Ga -4.9371 1.2956 3.3879
Ga -3.8227 3.6337 3.1161
Tm -5.2878 -0.8181 1.1115
Ga -3.2818 -3.2189 1.1551
Tm -1.8167 1.2329 3.1597
V -2.4380 1.0881 -0.6347
Ga -4.0049 2.0324 1.0703
V 0.0000 0.0000 0.0000
Ga -3.0997 -1.6176 3.2008
Ga -2.1675 -0.8808 0.8832
```

Calculated values
Magnetic moment: 0.0 Bohr magnetons per cell
Formation enthalpy at 0 K: -329 meV per atom
Space-group type: P6_3/mmc, No. 194

---

# 3
## RbDySb2Au2 (PBE-GGA)

Data for crystalline RbDySb2Au2 at its relaxed geometry.

```
6
Lattice="4.6725 0.0000 0.0000 -2.3363 4.0465 0.0000 0.0000 0.0000 9.5277" Properties=species:S:1:pos:R:3 pbc="T T T"
Sb 2.3363 1.3488 2.6713
Dy 0.0000 0.0000 4.7638
Rb 0.0000 0.0000 0.0000
Au 0.0000 2.6977 3.1938
Sb 0.0000 2.6977 6.8564
Au 2.3363 1.3488 6.3339
```

Calculated values
Magnetic moment: 0.0 Bohr magnetons per cell
Raw formation energy: -693 meV/atom
Space-group type: P-3m1, No. 164

---

# 4
## Rb2TlI6Br (PBE-GGA)

Data for crystalline Rb2TlI6Br at its relaxed geometry.

```
10
Lattice="-7.5435 -4.0567 0.0706 3.5349 -6.4982 4.3179 -3.5045 -2.3908 7.7665" Properties=species:S:1:pos:R:3 pbc="T T T"
Br -2.0043 -5.2774 2.1942
I -2.7977 -3.7508 5.1413
I 0.7812 -5.8913 3.2621
Rb -0.9869 -7.0832 7.1393
I -0.9964 -2.6236 1.0908
I -3.0122 -7.9313 3.2976
I -4.7898 -4.6635 1.1263
Tl 0.0000 0.0000 0.0000
I -4.7154 -9.1950 7.0136
Rb -6.5262 -5.8625 5.0157
```

Calculated values
Magnetic moment: 0.0 Bohr magnetons per cell
Raw formation energy: -597 meV/atom
Space-group type: I4/mmm, No. 139

---

# 5
## AlRhOF2 (PBE-GGA)

Data for crystalline AlRhOF2 at its relaxed geometry.

```
5
Lattice="-1.5883 -4.1190 -0.1738 3.4302 -1.2171 -2.5043 1.9427 -0.8794 3.0883" Properties=species:S:1:pos:R:3 pbc="T T T"
Al 1.8923 -3.1077 0.2051
O 0.9713 -0.4397 1.5442
Rh 0.0000 0.0000 0.0000
F 1.7151 -0.6085 -1.2522
F -0.7941 -2.0595 -0.0869
```

Calculated values
Energy above the lowest structure with this stoichiometry: 0.773 eV per atom
Magnetic moment: 0.0 Bohr magnetons per cell
Raw formation energy: -861 meV/atom
Space-group type: P4/mmm, No. 123

---

# 6
## Sc3GaI3 (PBE-GGA)

Data for crystalline Sc3GaI3 at its relaxed geometry.

```
28
Lattice="9.5276 0.0000 -3.3685 -4.7638 8.2512 -3.3685 0.0000 0.0000 10.1056" Properties=species:S:1:pos:R:3 pbc="T T T"
Sc 3.7625 6.1884 -2.7946
I 2.3314 4.1548 -0.8421
Sc 6.8613 3.9614 -2.5264
Sc 7.2405 0.1642 -2.2582
Ga 5.9548 2.0628 -0.8421
I -1.1573 2.0628 9.2158
Ga 3.5729 2.0628 2.5264
Ga 0.0000 0.0000 2.5264
Sc 5.7651 6.1884 -5.6268
I -2.3314 4.1548 5.8949
I 0.0000 8.1928 2.5264
I -2.3988 8.2220 5.8473
I 1.1404 6.1592 5.8949
Sc 2.6664 3.9614 4.2107
Sc 8.2419 1.8986 0.5739
Sc 4.7638 3.7971 0.8421
I 1.1573 2.0628 5.9426
I -3.5560 6.2176 2.5740
I 0.0000 4.1839 2.5264
I 3.5560 6.2176 2.4788
Sc 2.2871 0.1642 3.9425
Ga 4.7638 4.1256 -4.2107
Sc 3.8573 2.2270 -2.5264
I 2.3988 8.2220 -0.7945
Sc 5.6703 2.2270 4.2107
Sc 4.7638 0.3285 0.8421
I -1.1404 6.1592 -0.8421
Sc 1.2858 1.8986 1.1103
```

Calculated values
Magnetic moment: 0.0 Bohr magnetons per cell
Raw formation energy: -874 meV/atom
Space-group type: I4_132, No. 214

---

# 7
## AcMg3Ag (PBE-GGA)

Data for crystalline AcMg3Ag at its relaxed geometry.

```
5
Lattice="-4.3249 -0.7484 2.7618 -2.2192 -2.2821 -4.0938 1.8062 -4.5961 1.5830" Properties=species:S:1:pos:R:3 pbc="T T T"
Mg -2.1624 -0.3742 1.3809
Ac -2.3690 -3.8133 0.1255
Mg -1.1096 -1.1411 -2.0469
Mg 0.9031 -2.2980 0.7915
Ag 0.0000 0.0000 0.0000
```

Calculated values
Energy above the lowest structure with this stoichiometry: 0.105 eV per atom
Magnetic moment: 0.0 Bohr magnetons per cell
Formation enthalpy at 0 K: -51 meV per atom
Space-group type: Pm-3m, No. 221

---

# 8
## Cs2SrPbBr6 (PBE-GGA)

Data for crystalline Cs2SrPbBr6 at its relaxed geometry.

```
10
Lattice="-5.6936 0.2491 -1.9046 -0.6014 -5.8898 1.0275 -3.6562 2.3333 11.2351" Properties=species:S:1:pos:R:3 pbc="T T T"
Pb -4.9756 -1.6537 5.1790
Cs -2.7346 1.7452 8.4031
Br -0.3007 -2.9449 0.5137
Br -4.6749 1.2912 4.6653
Br -4.0635 -2.2358 2.3763
Br -5.8876 -1.0716 7.9818
Cs -0.9216 0.5881 2.8320
Br -2.1288 -1.7782 6.1313
Br -2.8468 0.1245 -0.9523
Sr -3.1475 -2.8203 -0.4385
```

Calculated values
Energy above the lowest structure with this stoichiometry: 0.000 eV per atom
Magnetic moment: 0.0 Bohr magnetons per cell
Raw formation energy: -1642 meV/atom
Space-group type: P4/mmm, No. 123

---

# 9
## PaTe3O9 (PBE-GGA)

Data for crystalline PaTe3O9 at its relaxed geometry.

```
26
Lattice="-3.9940 0.8322 -7.0287 -8.1745 0.3415 -0.0128 -3.4781 9.7745 -1.5647" Properties=species:S:1:pos:R:3 pbc="T T T"
O -11.7405 1.7983 -7.0423
O -5.0249 1.5473 -1.2042
O -6.9385 8.7287 -3.5324
O -7.8438 8.7724 -7.4008
O -10.9252 6.7508 -5.6243
Te -6.4179 7.8720 -5.1318
O -10.0417 4.1695 -4.0851
Te -9.5921 7.7516 -6.6554
Pa -3.7027 5.0872 -4.1907
O -8.8041 1.8805 -5.2930
Pa -7.6600 9.7558 -1.6904
O -9.5577 8.6349 -1.7506
Te -5.3431 3.5270 -0.9752
O -11.2386 6.6860 -2.6746
O -5.5415 5.7124 -1.0416
O -4.4698 3.8630 -5.7788
O -10.8237 9.0309 -7.4961
O -8.0467 6.8830 -5.4222
O -4.7453 3.7882 -2.7461
O -9.1939 1.9163 -2.5327
O -7.2169 3.4361 -1.3892
Te -8.8571 2.3927 -0.4535
Te -8.4992 3.1000 -3.8862
O -6.3429 1.9520 -7.0247
Te -11.3985 8.6327 -2.1670
O -5.5023 6.3983 -4.3909
```

Calculated values
Magnetic moment: 2.1 Bohr magnetons per cell
Raw formation energy: -1605 meV/atom
Space-group type: Cc, No. 9

---

# 10
## LaZrCd2C (PBE-GGA)

Data for crystalline LaZrCd2C at its relaxed geometry.

```
5
Lattice="-0.3225 6.0312 0.5712 -4.6915 -0.4970 2.5987 2.9626 -0.3420 5.2832" Properties=species:S:1:pos:R:3 pbc="T T T"
La 0.0000 0.0000 0.0000
Zr -2.3458 -0.2485 1.2994
Cd 1.4813 -0.1710 2.6416
Cd -0.1613 3.0156 0.2856
C -1.0257 2.5961 4.2266
```

Calculated values
Energy above the lowest structure with this stoichiometry: 1.853 eV per atom
Magnetic moment: 2.1 Bohr magnetons per cell
Formation enthalpy at 0 K: 2402 meV per atom
Space-group type: P4/mmm, No. 123

---

# 11
## CsMgRuBr6 (PBE-GGA)

Data for crystalline CsMgRuBr6 at its relaxed geometry.

```
9
Lattice="6.7917 0.0004 0.0002 3.3962 5.8816 -0.0002 0.0004 -0.0007 8.2813" Properties=species:S:1:pos:R:3 pbc="T T T"
Br 5.8876 5.7793 5.6079
Br 5.6347 2.2086 5.6081
Mg 3.3961 1.9604 4.1406
Br 7.6965 5.7792 2.6729
Br 4.7304 3.7749 2.6729
Br 7.9491 2.2086 2.6731
Ru 6.7919 3.9210 4.1405
Br 8.8535 3.7752 5.6082
Cs 10.1881 5.8812 8.2812
```

Calculated values
Magnetic moment: 1.0 Bohr magnetons per cell
Raw formation energy: -990 meV/atom
Space-group type: P312, No. 149

---

# 12
## Y2MgIr (PBE-GGA)

Data for crystalline Y2MgIr at its relaxed geometry.

```
4
Lattice="4.9217 -0.0005 0.0009 0.0007 4.9217 0.0009 -0.0004 -0.0004 3.7287" Properties=species:S:1:pos:R:3 pbc="T T T"
Ir 2.4607 -0.0004 1.8648
Y 2.4612 2.4606 0.0009
Y 0.0000 0.0000 0.0000
Mg 0.0002 2.4607 1.8648
```

Calculated values
Magnetic moment: 0.0 Bohr magnetons per cell
Formation enthalpy at 0 K: -414 meV per atom
Space-group type: P4/mmm, No. 123

---

| no. | E (eV/cell) |
| --- | --- |
| 1 | -28.9 |
| 2 | -48.6 |
| 3 | -24.5 |
| 4 | -21.2 |
| 5 | -24.1 |
| 6 | -131.2 |
| 7 | -12.0 |
| 8 | -33.6 |
| 9 | -168.8 |
| 10 | -12.5 |
| 11 | -30.7 |
| 12 | -25.0 |